No. 1
# BaTlSbI2 | Alexandria via LeMat-Bulk | meta-GGA SCAN | single point on PBEsol structure
data_BaTlSbI2
_chemical_formula_sum 'Ba1 Tl1 Sb1 I2'
_cell_length_a 6.5344
_cell_length_b 6.5344
_cell_length_c 6.6814
_cell_angle_alpha 90.00
_cell_angle_beta 90.00
_cell_angle_gamma 90.00
_space_group_name_H-M_alt 'P 4/m m m'
_space_group_IT_number 123
_space_group_name_Hall '-P 4 2'
loop_
_atom_site_label
_atom_site_fract_x
_atom_site_fract_y
_atom_site_fract_z
_atom_site_occupancy
Ba1 0.0000 0.0000 0.0000 1
Tl1 0.5000 0.5000 0.5000 1
Sb1 0.0000 0.0000 0.5000 1
I1 0.0000 0.5000 0.0000 1
# Raw formation energy (eV per formula unit): -2.254

No. 2
# BaYSbI2 | Alexandria via LeMat-Bulk | meta-GGA SCAN | single point on PBEsol structure
data_BaYSbI2
_chemical_formula_sum 'Ba1 Y1 Sb1 I2'
_cell_length_a 5.8172
_cell_length_b 5.8172
_cell_length_c 5.9444
_cell_angle_alpha 90.00
_cell_angle_beta 90.00
_cell_angle_gamma 90.00
_space_group_name_H-M_alt 'P 4/m m m'
_space_group_IT_number 123
_space_group_name_Hall '-P 4 2'
loop_
_atom_site_label
_atom_site_fract_x
_atom_site_fract_y
_atom_site_fract_z
_atom_site_occupancy
Ba1 0.0000 0.0000 0.0000 1
Y1 0.5000 0.5000 0.5000 1
Sb1 0.5000 0.5000 0.0000 1
I1 0.0000 0.5000 0.5000 1
# Raw formation energy (eV per formula unit): -5.925

No. 3
# BaSc2I | Alexandria via LeMat-Bulk | meta-GGA SCAN | single point on PBEsol structure
data_BaSc2I
_chemical_formula_sum 'Ba4 Sc8 I4'
_cell_length_a 7.5351
_cell_length_b 7.5351
_cell_length_c 7.5351
_cell_angle_alpha 90.00
_cell_angle_beta 90.00
_cell_angle_gamma 90.00
_space_group_name_H-M_alt 'F m -3 m'
_space_group_IT_number 225
_space_group_name_Hall '-F 4 2 3'
loop_
_atom_site_label
_atom_site_fract_x
_atom_site_fract_y
_atom_site_fract_z
_atom_site_occupancy
Ba1 0.0000 0.0000 0.0000 1
Sc1 0.2500 0.2500 0.2500 1
I1 0.0000 0.0000 0.5000 1
# Raw formation energy (eV per formula unit): 1.633

No. 4
# Ba3ScI | Alexandria via LeMat-Bulk | meta-GGA SCAN | single point on PBEsol structure
data_Ba3ScI
_chemical_formula_sum 'Ba3 Sc1 I1'
_cell_length_a 6.2263
_cell_length_b 6.2263
_cell_length_c 6.2263
_cell_angle_alpha 90.00
_cell_angle_beta 90.00
_cell_angle_gamma 90.00
_space_group_name_H-M_alt 'P m -3 m'
_space_group_IT_number 221
_space_group_name_Hall '-P 4 2 3'
loop_
_atom_site_label
_atom_site_fract_x
_atom_site_fract_y
_atom_site_fract_z
_atom_site_occupancy
Ba1 0.0000 0.0000 0.5000 1
Sc1 0.0000 0.0000 0.0000 1
I1 0.5000 0.5000 0.5000 1
# Raw formation energy (eV per formula unit): 0.762

No. 5
# BaSiI3 | Alexandria via LeMat-Bulk | meta-GGA SCAN | single point on PBEsol structure
data_BaSiI3
_chemical_formula_sum 'Ba1 Si1 I3'
_cell_length_a 6.5424
_cell_length_b 6.5424
_cell_length_c 6.5424
_cell_angle_alpha 90.00
_cell_angle_beta 90.00
_cell_angle_gamma 90.00
_space_group_name_H-M_alt 'P m -3 m'
_space_group_IT_number 221
_space_group_name_Hall '-P 4 2 3'
loop_
_atom_site_label
_atom_site_fract_x
_atom_site_fract_y
_atom_site_fract_z
_atom_site_occupancy
Ba1 0.0000 0.0000 0.0000 1
Si1 0.5000 0.5000 0.5000 1
I1 0.0000 0.0000 0.5000 1
# Raw formation energy (eV per formula unit): -0.850

No. 6
# Ba3SiI2 | Alexandria via LeMat-Bulk | meta-GGA SCAN | single point on PBEsol structure
data_Ba3SiI2
_chemical_formula_sum 'Ba48 Si16 I32'
_cell_length_a 9.9665
_cell_length_b 13.9366
_cell_length_c 29.2841
_cell_angle_alpha 90.00
_cell_angle_beta 90.00
_cell_angle_gamma 90.00
_space_group_name_H-M_alt 'F d d d'
_space_group_IT_number 70
loop_
_space_group_symop_operation_xyz
'x,y,z'
'-x,-y,-z'
'-x+1/4,-y+1/4,z'
'x+1/4,y+1/4,-z'
'x,-y+1/4,-z+1/4'
'-x,y+1/4,z+1/4'
'-x+1/4,y,-z+1/4'
'x+1/4,-y,z+1/4'
'x,y+1/2,z+1/2'
'-x,-y+1/2,-z+1/2'
'-x+1/4,-y+3/4,z+1/2'
'x+1/4,y+3/4,-z+1/2'
'x,-y+3/4,-z+3/4'
'-x,y+3/4,z+3/4'
'-x+1/4,y+1/2,-z+3/4'
'x+1/4,-y+1/2,z+3/4'
'x+1/2,y,z+1/2'
'-x+1/2,-y,-z+1/2'
'-x+3/4,-y+1/4,z+1/2'
'x+3/4,y+1/4,-z+1/2'
'x+1/2,-y+1/4,-z+3/4'
'-x+1/2,y+1/4,z+3/4'
'-x+3/4,y,-z+3/4'
'x+3/4,-y,z+3/4'
'x+1/2,y+1/2,z'
'-x+1/2,-y+1/2,-z'
'-x+3/4,-y+3/4,z'
'x+3/4,y+3/4,-z'
'x+1/2,-y+3/4,-z+1/4'
'-x+1/2,y+3/4,z+1/4'
'-x+3/4,y+1/2,-z+1/4'
'x+3/4,-y+1/2,z+1/4'
loop_
_atom_site_label
_atom_site_fract_x
_atom_site_fract_y
_atom_site_fract_z
_atom_site_occupancy
Ba1 0.0859 0.3750 0.3750 1
Ba2 0.1104 0.3574 0.2156 1
Si1 0.1250 0.1250 0.0408 1
I1 0.1250 0.1250 0.3787 1
I2 0.1250 0.1250 0.5476 1
# Raw formation energy (eV per formula unit): -7.590

No. 7
# BaSnTe2I | Alexandria via LeMat-Bulk | meta-GGA SCAN | single point on PBEsol structure
data_BaSnTe2I
_chemical_formula_sum 'Ba1 Sn1 Te2 I1'
_cell_length_a 5.7290
_cell_length_b 5.7290
_cell_length_c 5.8676
_cell_angle_alpha 90.00
_cell_angle_beta 90.00
_cell_angle_gamma 90.00
_space_group_name_H-M_alt 'P 4/m m m'
_space_group_IT_number 123
_space_group_name_Hall '-P 4 2'
loop_
_atom_site_label
_atom_site_fract_x
_atom_site_fract_y
_atom_site_fract_z
_atom_site_occupancy
Ba1 0.0000 0.0000 0.0000 1
Sn1 0.5000 0.5000 0.5000 1
Te1 0.0000 0.5000 0.5000 1
I1 0.5000 0.5000 0.0000 1
# Raw formation energy (eV per formula unit): -3.988

No. 8
# Ba2SrI6 | Alexandria via LeMat-Bulk | meta-GGA SCAN | single point on PBEsol structure
data_Ba2SrI6
_chemical_formula_sum 'Ba8 Sr4 I24'
_cell_length_a 24.3800
_cell_length_b 8.2028
_cell_length_c 8.1791
_cell_angle_alpha 90.00
_cell_angle_beta 96.05
_cell_angle_gamma 90.00
_space_group_name_H-M_alt 'C 1 2/c 1'
_space_group_IT_number 15
loop_
_space_group_symop_operation_xyz
'x,y,z'
'-x,-y,-z'
'-x,y,-z+1/2'
'x,-y,z+1/2'
'x+1/2,y+1/2,z'
'-x+1/2,-y+1/2,-z'
'-x+1/2,y+1/2,-z+1/2'
'x+1/2,-y+1/2,z+1/2'
loop_
_atom_site_label
_atom_site_fract_x
_atom_site_fract_y
_atom_site_fract_z
_atom_site_occupancy
Ba1 0.1661 0.2396 0.2252 1
Sr1 0.0000 0.3055 0.7500 1
I1 0.0826 0.0351 0.9188 1
I2 0.0833 0.4566 0.4986 1
I3 0.2478 0.4990 0.9928 1
# Raw formation energy (eV per formula unit): -17.321
# ΔE to the lowest computed polymorph (eV/atom): 0.013

No. 9
# Ba2SrI6 | Alexandria via LeMat-Bulk | meta-GGA SCAN | single point on PBEsol structure
data_Ba2SrI6
_chemical_formula_sum 'Ba6 Sr3 I18'
_cell_length_a 13.1408
_cell_length_b 13.1408
_cell_length_c 8.1079
_cell_angle_alpha 90.00
_cell_angle_beta 90.00
_cell_angle_gamma 120.00
_space_group_name_H-M_alt 'P 3 2 1'
_space_group_IT_number 150
loop_
_space_group_symop_operation_xyz
'x,y,z'
'-y,x-y,z'
'-x+y,-x,z'
'y,x,-z'
'x-y,-y,-z'
'-x,-x+y,-z'
loop_
_atom_site_label
_atom_site_fract_x
_atom_site_fract_y
_atom_site_fract_z
_atom_site_occupancy
Ba1 0.0000 0.4124 0.0000 1
Ba2 0.0000 0.7330 0.5000 1
Sr1 0.0000 0.0000 0.0000 1
Sr2 0.3333 0.6667 0.5993 1
I1 0.0329 0.2076 0.2521 1
I2 0.1287 0.5862 0.3311 1
I3 0.1729 0.7229 0.8439 1
# Raw formation energy (eV per formula unit): -17.084
# ΔE to the lowest computed polymorph (eV/atom): 0.040

No. 10
# Ba2SrI6 | Alexandria via LeMat-Bulk | meta-GGA SCAN | single point on PBEsol structure
data_Ba2SrI6
_chemical_formula_sum 'Ba2 Sr1 I6'
_cell_length_a 9.0450
_cell_length_b 9.0450
_cell_length_c 4.9186
_cell_angle_alpha 90.00
_cell_angle_beta 90.00
_cell_angle_gamma 120.00
_space_group_name_H-M_alt 'P -6 2 m'
_space_group_IT_number 189
_space_group_name_Hall 'P -6 -2'
loop_
_atom_site_label
_atom_site_fract_x
_atom_site_fract_y
_atom_site_fract_z
_atom_site_occupancy
Ba1 0.3333 0.6667 0.0000 1
Sr1 0.0000 0.0000 0.5000 1
I1 0.0000 0.2500 0.0000 1
I2 0.0000 0.5942 0.5000 1
# Raw formation energy (eV per formula unit): -17.440
# ΔE to the lowest computed polymorph (eV/atom): 0.000

No. 11
# BaSr2I6 | Alexandria via LeMat-Bulk | meta-GGA SCAN | single point on PBEsol structure
data_BaSr2I6
_chemical_formula_sum 'Ba2 Sr4 I12'
_cell_length_a 7.7235
_cell_length_b 7.7235
_cell_length_c 15.0122
_cell_angle_alpha 90.00
_cell_angle_beta 90.00
_cell_angle_gamma 90.00
_space_group_name_H-M_alt 'P 42/m n m'
_space_group_IT_number 136
_space_group_name_Hall '-P 4n 2n'
loop_
_atom_site_label
_atom_site_fract_x
_atom_site_fract_y
_atom_site_fract_z
_atom_site_occupancy
Ba1 0.0000 0.0000 0.0000 1
Sr1 0.0000 0.0000 0.3330 1
I1 0.1891 0.1891 0.5000 1
I2 0.2015 0.2015 0.1739 1
# Raw formation energy (eV per formula unit): -16.825
# ΔE to the lowest computed polymorph (eV/atom): 0.008

No. 12
# Ba2SrI6 | Alexandria via LeMat-Bulk | meta-GGA SCAN | single point on PBEsol structure
data_Ba2SrI6
_chemical_formula_sum 'Ba2 Sr1 I6'
_cell_length_a 8.5707
_cell_length_b 8.5707
_cell_length_c 7.0171
_cell_angle_alpha 90.00
_cell_angle_beta 90.00
_cell_angle_gamma 120.00
_space_group_name_H-M_alt 'P -3 1 m'
_space_group_IT_number 162
_space_group_name_Hall '-P 3 2'
loop_
_atom_site_label
_atom_site_fract_x
_atom_site_fract_y
_atom_site_fract_z
_atom_site_occupancy
Ba1 0.3333 0.6667 0.0000 1
Sr1 0.0000 0.0000 0.5000 1
I1 0.0000 0.3277 0.7393 1
# Raw formation energy (eV per formula unit): -16.927
# ΔE to the lowest computed polymorph (eV/atom): 0.057

No. 13
# BaSr2I6 | Alexandria via LeMat-Bulk | meta-GGA SCAN | single point on PBEsol structure
data_BaSr2I6
_chemical_formula_sum 'Ba2 Sr4 I12'
_cell_length_a 6.3569
_cell_length_b 8.2984
_cell_length_c 15.8754
_cell_angle_alpha 90.00
_cell_angle_beta 108.41
_cell_angle_gamma 90.00
_space_group_name_H-M_alt 'P 1 21/c 1'
_space_group_IT_number 14
loop_
_space_group_symop_operation_xyz
'x,y,z'
'-x,-y,-z'
'-x,y+1/2,-z+1/2'
'x,-y+1/2,z+1/2'
loop_
_atom_site_label
_atom_site_fract_x
_atom_site_fract_y
_atom_site_fract_z
_atom_site_occupancy
Ba1 0.0000 0.0000 0.0000 1
Sr1 0.3791 0.1183 0.7517 1
I1 0.1089 0.0308 0.2336 1
I2 0.2731 0.6551 0.0971 1
I3 0.4916 0.6701 0.4031 1
# Raw formation energy (eV per formula unit): -16.572
# ΔE to the lowest computed polymorph (eV/atom): 0.037

No. 14
# BaSr2I6 | Alexandria via LeMat-Bulk | meta-GGA SCAN | single point on PBEsol structure
data_BaSr2I6
_chemical_formula_sum 'Ba4 Sr8 I24'
_cell_length_a 24.0813
_cell_length_b 7.9912
_cell_length_c 7.9888
_cell_angle_alpha 90.00
_cell_angle_beta 90.00
_cell_angle_gamma 90.00
_space_group_name_H-M_alt 'C m c e'
_space_group_IT_number 64
_space_group_name_Hall '-C 2ac 2'
loop_
_atom_site_label
_atom_site_fract_x
_atom_site_fract_y
_atom_site_fract_z
_atom_site_occupancy
Ba1 0.0000 0.0000 0.0000 1
Sr1 0.1682 0.0000 0.5000 1
I1 0.0870 0.2498 0.2501 1
I2 0.2500 0.2488 0.2500 1
# Raw formation energy (eV per formula unit): -16.791
# ΔE to the lowest computed polymorph (eV/atom): 0.012

No. 15
# BaSr2I6 | Alexandria via LeMat-Bulk | meta-GGA SCAN | single point on PBEsol structure
data_BaSr2I6
_chemical_formula_sum 'Ba3 Sr6 I18'
_cell_length_a 14.2895
_cell_length_b 14.2895
_cell_length_c 7.2327
_cell_angle_alpha 90.00
_cell_angle_beta 90.00
_cell_angle_gamma 120.00
_space_group_name_H-M_alt 'P 3 2 1'
_space_group_IT_number 150
loop_
_space_group_symop_operation_xyz
'x,y,z'
'-y,x-y,z'
'-x+y,-x,z'
'y,x,-z'
'x-y,-y,-z'
'-x,-x+y,-z'
loop_
_atom_site_label
_atom_site_fract_x
_atom_site_fract_y
_atom_site_fract_z
_atom_site_occupancy
Ba1 0.0000 0.0000 0.0000 1
Ba2 0.3333 0.6667 0.5041 1
Sr1 0.0000 0.3493 0.0000 1
Sr2 0.0000 0.6843 0.5000 1
I1 0.0971 0.2299 0.2561 1
I2 0.1037 0.5693 0.2469 1
I3 0.2133 0.7765 0.7624 1
# Raw formation energy (eV per formula unit): -16.796
# ΔE to the lowest computed polymorph (eV/atom): 0.012

No. 16
# Ba2SrI6 | Alexandria via LeMat-Bulk | meta-GGA SCAN | single point on PBEsol structure
data_Ba2SrI6
_chemical_formula_sum 'Ba4 Sr2 I12'
_cell_length_a 7.8305
_cell_length_b 7.8305
_cell_length_c 15.3586
_cell_angle_alpha 90.00
_cell_angle_beta 90.00
_cell_angle_gamma 90.00
_space_group_name_H-M_alt 'P 42/m n m'
_space_group_IT_number 136
_space_group_name_Hall '-P 4n 2n'
loop_
_atom_site_label
_atom_site_fract_x
_atom_site_fract_y
_atom_site_fract_z
_atom_site_occupancy
Ba1 0.0000 0.0000 0.1664 1
Sr1 0.0000 0.0000 0.5000 1
I1 0.1925 0.1925 0.3405 1
I2 0.2049 0.2049 0.0000 1
# Raw formation energy (eV per formula unit): -17.030
# ΔE to the lowest computed polymorph (eV/atom): 0.046

No. 17
# Ba2SrI6 | Alexandria via LeMat-Bulk | meta-GGA SCAN | single point on PBEsol structure
data_Ba2SrI6
_chemical_formula_sum 'Ba8 Sr4 I24'
_cell_length_a 8.0868
_cell_length_b 8.0868
_cell_length_c 24.3661
_cell_angle_alpha 90.00
_cell_angle_beta 90.00
_cell_angle_gamma 90.00
_space_group_name_H-M_alt 'P 4/n b m'
_space_group_IT_number 125
loop_
_space_group_symop_operation_xyz
'x,y,z'
'-x,-y,-z'
'-y+1/2,x,z'
'y+1/2,-x,-z'
'-x+1/2,-y+1/2,z'
'x+1/2,y+1/2,-z'
'y,-x+1/2,z'
'-y,x+1/2,-z'
'x,-y+1/2,-z'
'-x,y+1/2,z'
'-y+1/2,-x+1/2,-z'
'y+1/2,x+1/2,z'
'-x+1/2,y,-z'
'x+1/2,-y,z'
'y,x,-z'
'-y,-x,z'
loop_
_atom_site_label
_atom_site_fract_x
_atom_site_fract_y
_atom_site_fract_z
_atom_site_occupancy
Ba1 0.2500 0.2500 0.1651 1
Ba2 0.2500 0.7500 0.3347 1
Sr1 0.2500 0.2500 0.5000 1
Sr2 0.2500 0.7500 0.0000 1
I1 0.9999 0.0001 0.2499 1
I2 0.0003 0.9997 0.4200 1
I3 0.0006 0.5006 0.0800 1
# Raw formation energy (eV per formula unit): -17.262
# ΔE to the lowest computed polymorph (eV/atom): 0.020

No. 18
# BaSr2I6 | Alexandria via LeMat-Bulk | meta-GGA SCAN | single point on PBEsol structure
data_BaSr2I6
_chemical_formula_sum 'Ba4 Sr8 I24'
_cell_length_a 8.9128
_cell_length_b 15.1245
_cell_length_c 11.5780
_cell_angle_alpha 90.00
_cell_angle_beta 94.23
_cell_angle_gamma 90.00
_space_group_name_H-M_alt 'C 1 2/c 1'
_space_group_IT_number 15
loop_
_space_group_symop_operation_xyz
'x,y,z'
'-x,-y,-z'
'-x,y,-z+1/2'
'x,-y,z+1/2'
'x+1/2,y+1/2,z'
'-x+1/2,-y+1/2,-z'
'-x+1/2,y+1/2,-z+1/2'
'x+1/2,-y+1/2,z+1/2'
loop_
_atom_site_label
_atom_site_fract_x
_atom_site_fract_y
_atom_site_fract_z
_atom_site_occupancy
Ba1 0.0000 0.0254 0.2500 1
Sr1 0.0554 0.3480 0.5564 1
I1 0.1010 0.1317 0.5331 1
I2 0.1553 0.4512 0.1340 1
I3 0.2421 0.3101 0.8050 1
# Raw formation energy (eV per formula unit): -16.865
# ΔE to the lowest computed polymorph (eV/atom): 0.004